Arrangement one

The following is a DFT calculation (PBE) of a geometry-optimized Sn3HgN structure.

Lattice parameters (Å, degrees): 4.859 4.859 4.859 90.00 90.00 90.00
Atoms (fractional coordinates):
Hg1 0.500 0.500 0.500
Sn1 0.500 0.000 0.000
Sn2 0.000 0.500 0.000
Sn3 0.000 0.000 0.500
N1 0.000 0.000 0.000

Computed properties:
Total magnetic moment, μB per atom: 0.0000
N(E_F), states/eV/cell: 5.23
Space group: Pm-3m


Arrangement two

The following is a DFT calculation (PBE) of a geometry-optimized Sn3HgN structure.

Lattice parameters (Å, degrees): 5.483 5.483 5.483 90.00 90.00 90.00
Atoms (fractional coordinates):
Sn1 0.000 0.500 0.000
Sn2 0.500 0.000 0.000
Sn3 0.000 0.000 0.500
Hg1 0.000 0.000 0.000
N1 0.500 0.500 0.500

Computed properties:
Total magnetic moment, μB per atom: 0.0000
N(E_F), states/eV/cell: 3.14
Space group: Pm-3m


Least stable of them? arrangement two.


Arrangement one

The following is a DFT calculation (PBE) of a geometry-optimized Sn2HgN structure.

Lattice parameters (Å, degrees): 4.914 4.914 4.914 60.00 60.00 60.00
Atoms (fractional coordinates):
Hg1 0.500 0.500 0.500
Sn1 0.750 0.750 0.750
Sn2 0.250 0.250 0.250
N1 0.000 0.000 0.000

Computed properties:
Total magnetic moment, μB per atom: 0.0000
N(E_F), states/eV/cell: 3.47
Space group: Fm-3m


Arrangement two

The following is a DFT calculation (PBE) of a geometry-optimized Sn2HgN structure.

Lattice parameters (Å, degrees): 5.979 5.979 6.949 64.52 64.52 90.00
Atoms (fractional coordinates):
Sn1 0.375 0.459 0.750
Sn2 0.875 0.791 0.750
Sn3 0.541 0.125 0.250
Sn4 0.209 0.625 0.250
N1 0.500 0.500 0.000
N2 0.250 0.750 0.500
Hg1 0.750 0.250 0.500
Hg2 0.000 0.000 0.000

Computed properties:
Total magnetic moment, μB per atom: 0.0000
N(E_F), states/eV/cell: 2.19
Space group: I-42d


Least stable of them? arrangement one.


Arrangement one

The following is a DFT calculation (PBE) of a geometry-optimized Sr2Hg2N structure.

Lattice parameters (Å, degrees): 7.123 7.123 6.008 90.00 90.00 90.00
Atoms (fractional coordinates):
Sr1 0.700 0.200 0.000
Sr2 0.200 0.300 0.000
Sr3 0.300 0.800 0.000
Sr4 0.800 0.700 0.000
Hg1 0.649 0.851 0.500
Hg2 0.851 0.351 0.500
Hg3 0.351 0.149 0.500
Hg4 0.149 0.649 0.500
N1 0.000 0.000 0.000
N2 0.500 0.500 0.000

Computed properties:
Total magnetic moment, μB per atom: 0.0577
N(E_F), states/eV/cell: 10.21
Space group: P4/mbm


Arrangement two

The following is a DFT calculation (PBE) of a geometry-optimized Sr2Hg2N structure.

Lattice parameters (Å, degrees): 3.841 3.841 9.633 78.50 78.50 90.00
Atoms (fractional coordinates):
Hg1 0.250 0.750 0.500
Hg2 0.750 0.250 0.500
Sr1 0.420 0.420 0.159
Sr2 0.580 0.580 0.841
N1 0.000 0.000 0.000

Computed properties:
Total magnetic moment, μB per atom: 0.0000
N(E_F), states/eV/cell: 2.79
Space group: I4/mmm


Arrangement three

The following is a DFT calculation (PBE) of a geometry-optimized Sr2Hg2N structure.

Lattice parameters (Å, degrees): 3.874 3.874 10.476 79.34 79.34 60.00
Atoms (fractional coordinates):
Hg1 0.868 0.868 0.396
Hg2 0.132 0.132 0.604
N1 0.000 0.000 0.000
Sr1 0.622 0.622 0.134
Sr2 0.378 0.378 0.866

Computed properties:
Total magnetic moment, μB per atom: 0.0000
N(E_F), states/eV/cell: 0.77
Space group: R-3m


Least stable of them? arrangement two.


Arrangement one

The following is a DFT calculation (PBE) of a geometry-optimized Sr4Hg2N structure.

Lattice parameters (Å, degrees): 7.232 7.693 9.661 90.00 109.13 90.00
Atoms (fractional coordinates):
Hg1 0.678 0.750 0.038
Hg2 0.788 0.750 0.576
Hg3 0.212 0.250 0.424
Hg4 0.322 0.250 0.962
Sr1 0.510 0.012 0.733
Sr2 0.118 0.750 0.942
Sr3 0.490 0.512 0.267
Sr4 0.072 0.750 0.350
Sr5 0.928 0.250 0.650
Sr6 0.490 0.988 0.267
Sr7 0.510 0.488 0.733
Sr8 0.882 0.250 0.058
N1 0.273 0.750 0.199
N2 0.727 0.250 0.801

Computed properties:
Total magnetic moment, μB per atom: 0.0000
N(E_F), states/eV/cell: 9.57
Space group: P2_1/m


Arrangement two

The following is a DFT calculation (PBE) of a geometry-optimized Sr4Hg2N structure.

Lattice parameters (Å, degrees): 5.064 5.064 10.013 75.35 75.35 90.00
Atoms (fractional coordinates):
Hg1 0.136 0.136 0.728
Hg2 0.864 0.864 0.272
N1 0.000 0.000 0.000
Sr1 0.312 0.312 0.376
Sr2 0.500 0.000 0.000
Sr3 0.000 0.500 0.000
Sr4 0.688 0.688 0.624

Computed properties:
Total magnetic moment, μB per atom: 0.0000
N(E_F), states/eV/cell: 5.32
Space group: I4/mmm


Least stable of them? arrangement two.


Arrangement one

The following is a DFT calculation (PBE) of a geometry-optimized SrHgTe2N structure.

Lattice parameters (Å, degrees): 6.470 6.470 4.919 90.00 90.00 90.00
Atoms (fractional coordinates):
Sr1 0.000 0.000 0.000
Hg1 0.500 0.500 0.500
N1 0.000 0.000 0.500
Te1 0.500 0.000 0.000
Te2 0.000 0.500 0.000

Computed properties:
Total magnetic moment, μB per atom: 0.9058
N(E_F), states/eV/cell: 5.47
Space group: P4/mmm


Arrangement two

The following is a DFT calculation (PBE) of a geometry-optimized SrHgTe2N structure.

Lattice parameters (Å, degrees): 5.879 5.879 4.290 90.00 90.00 90.00
Atoms (fractional coordinates):
Te1 0.000 0.500 0.000
Te2 0.500 0.000 0.000
Hg1 0.000 0.000 0.000
N1 0.000 0.000 0.500
Sr1 0.500 0.500 0.500

Computed properties:
Total magnetic moment, μB per atom: 0.3855
N(E_F), states/eV/cell: 1.88
Space group: P4/mmm


Least stable of them? arrangement one.


Arrangement one

The following is a DFT calculation (PBE) of a geometry-optimized TaHgN2 structure.

Lattice parameters (Å, degrees): 4.076 4.076 4.076 60.00 60.00 60.00
Atoms (fractional coordinates):
Ta1 0.000 0.000 0.000
N1 0.250 0.250 0.250
N2 0.750 0.750 0.750
Hg1 0.500 0.500 0.500

Computed properties:
Total magnetic moment, μB per atom: 0.0001
N(E_F), states/eV/cell: 5.08
Space group: Fm-3m


Arrangement two

The following is a DFT calculation (PBE) of a geometry-optimized TaHgN2 structure.

Lattice parameters (Å, degrees): 5.545 5.545 6.059 62.77 62.77 90.00
Atoms (fractional coordinates):
N1 0.241 0.625 0.250
N2 0.509 0.125 0.250
N3 0.375 0.491 0.750
N4 0.875 0.759 0.750
Ta1 0.250 0.750 0.500
Ta2 0.500 0.500 0.000
Hg1 0.000 0.000 0.000
Hg2 0.750 0.250 0.500

Computed properties:
Total magnetic moment, μB per atom: 0.0000
N(E_F), states/eV/cell: 3.98
Space group: I-42d


Least stable of them? arrangement one.


Arrangement one

The following is a DFT calculation (PBE) of a geometry-optimized TaHg2N structure.

Lattice parameters (Å, degrees): 4.657 4.657 4.657 60.00 60.00 60.00
Atoms (fractional coordinates):
Ta1 0.500 0.500 0.500
N1 0.000 0.000 0.000
Hg1 0.750 0.750 0.750
Hg2 0.250 0.250 0.250

Computed properties:
Total magnetic moment, μB per atom: 0.0000
N(E_F), states/eV/cell: 4.11
Space group: Fm-3m


Arrangement two

The following is a DFT calculation (PBE) of a geometry-optimized TaHg2N structure.

Lattice parameters (Å, degrees): 9.239 9.239 6.828 47.43 47.43 90.00
Atoms (fractional coordinates):
Ta1 0.750 0.250 0.500
Ta2 0.000 0.000 0.000
Hg1 0.375 0.490 0.750
Hg2 0.875 0.760 0.750
Hg3 0.510 0.125 0.250
Hg4 0.240 0.625 0.250
N1 0.500 0.500 0.000
N2 0.250 0.750 0.500

Computed properties:
Total magnetic moment, μB per atom: 0.0000
N(E_F), states/eV/cell: 3.30
Space group: I-42d


Least stable of them? arrangement one.


Arrangement one

The following is a DFT calculation (PBE) of a geometry-optimized TaHgTe2N structure.

Lattice parameters (Å, degrees): 5.620 5.620 3.927 90.00 90.00 90.00
Atoms (fractional coordinates):
Ta1 0.000 0.000 0.000
N1 0.000 0.000 0.500
Hg1 0.500 0.500 0.500
Te1 0.000 0.500 0.000
Te2 0.500 0.000 0.000

Computed properties:
Total magnetic moment, μB per atom: 0.0000
N(E_F), states/eV/cell: 4.49
Space group: P4/mmm


Arrangement two

The following is a DFT calculation (PBE) of a geometry-optimized TaHgTe2N structure.

Lattice parameters (Å, degrees): 5.670 5.670 3.981 90.00 90.00 90.00
Atoms (fractional coordinates):
Te1 0.500 0.000 0.000
Te2 0.000 0.500 0.000
Ta1 0.500 0.500 0.500
N1 0.000 0.000 0.500
Hg1 0.000 0.000 0.000

Computed properties:
Total magnetic moment, μB per atom: 0.7923
N(E_F), states/eV/cell: 4.27
Space group: P4/mmm


Least stable of them? arrangement two.


Arrangement one

The following is a DFT calculation (PBE) of a geometry-optimized TcHg3N structure.

Lattice parameters (Å, degrees): 4.618 4.618 4.618 90.00 90.00 90.00
Atoms (fractional coordinates):
N1 0.000 0.000 0.000
Hg1 0.500 0.000 0.000
Hg2 0.000 0.000 0.500
Hg3 0.000 0.500 0.000
Tc1 0.500 0.500 0.500

Computed properties:
Total magnetic moment, μB per atom: 0.4918
N(E_F), states/eV/cell: 4.50
Space group: Pm-3m


Arrangement two

The following is a DFT calculation (PBE) of a geometry-optimized TcHg3N structure.

Lattice parameters (Å, degrees): 5.338 5.338 5.338 90.00 90.00 90.00
Atoms (fractional coordinates):
N1 0.500 0.500 0.500
Hg1 0.000 0.000 0.500
Hg2 0.500 0.000 0.000
Hg3 0.000 0.500 0.000
Tc1 0.000 0.000 0.000

Computed properties:
Total magnetic moment, μB per atom: 0.5408
N(E_F), states/eV/cell: 9.75
Space group: Pm-3m


Least stable of them? arrangement two.


Arrangement one

The following is a DFT calculation (PBE) of a geometry-optimized HgTeN2 structure.

Lattice parameters (Å, degrees): 6.750 6.750 6.750 30.47 30.47 30.47
Atoms (fractional coordinates):
N1 0.892 0.892 0.892
N2 0.108 0.108 0.108
Te1 0.000 0.000 0.000
Hg1 0.500 0.500 0.500

Computed properties:
Total magnetic moment, μB per atom: 0.0001
N(E_F), states/eV/cell: 3.59
Space group: R-3m


Arrangement two

The following is a DFT calculation (PBE) of a geometry-optimized HgTeN2 structure.

Lattice parameters (Å, degrees): 4.329 4.329 4.329 60.00 60.00 60.00
Atoms (fractional coordinates):
Te1 0.000 0.000 0.000
N1 0.250 0.250 0.250
N2 0.750 0.750 0.750
Hg1 0.500 0.500 0.500

Computed properties:
Total magnetic moment, μB per atom: 0.0000
N(E_F), states/eV/cell: 2.19
Space group: Fm-3m


Arrangement three

The following is a DFT calculation (PBE) of a geometry-optimized HgTeN2 structure.

Lattice parameters (Å, degrees): 5.096 5.096 6.655 67.49 67.49 90.00
Atoms (fractional coordinates):
N1 0.875 0.838 0.750
N2 0.162 0.625 0.250
N3 0.588 0.125 0.250
N4 0.375 0.412 0.750
Te1 0.500 0.500 0.000
Te2 0.250 0.750 0.500
Hg1 0.000 0.000 0.000
Hg2 0.750 0.250 0.500

Computed properties:
Total magnetic moment, μB per atom: 0.0000
N(E_F), states/eV/cell: 4.00
Space group: I-42d


Least stable of them? arrangement two.


Arrangement one

The following is a DFT calculation (PBE) of a geometry-optimized HgTeN2 structure.

Lattice parameters (Å, degrees): 6.700 6.700 6.700 30.85 30.85 30.85
Atoms (fractional coordinates):
N1 0.108 0.108 0.108
N2 0.892 0.892 0.892
Hg1 0.000 0.000 0.000
Te1 0.500 0.500 0.500

Computed properties:
Total magnetic moment, μB per atom: 0.0000
N(E_F), states/eV/cell: 1.46
Space group: R-3m


Arrangement two

The following is a DFT calculation (PBE) of a geometry-optimized HgTeN2 structure.

Lattice parameters (Å, degrees): 12.371 12.371 5.088 89.41 89.41 155.58
Atoms (fractional coordinates):
N1 0.023 0.144 0.314
N2 0.977 0.856 0.686
N3 0.856 0.977 0.186
N4 0.144 0.023 0.814
Hg1 0.500 0.000 0.000
Hg2 0.000 0.500 0.500
Te1 0.329 0.671 0.750
Te2 0.671 0.329 0.250

Computed properties:
Total magnetic moment, μB per atom: 0.0000
N(E_F), states/eV/cell: 0.00
Space group: C2/c


Least stable of them? arrangement one.


Arrangement one

The following is a DFT calculation (PBE) of a geometry-optimized Hg3TeN structure.

Lattice parameters (Å, degrees): 5.808 5.808 5.808 90.00 90.00 90.00
Atoms (fractional coordinates):
Hg1 0.000 0.500 0.000
Hg2 0.000 0.000 0.500
Hg3 0.500 0.000 0.000
Te1 0.000 0.000 0.000
N1 0.500 0.500 0.500

Computed properties:
Total magnetic moment, μB per atom: 0.0000
N(E_F), states/eV/cell: 50.40
Space group: Pm-3m


Arrangement two

The following is a DFT calculation (PBE) of a geometry-optimized Hg3TeN structure.

Lattice parameters (Å, degrees): 4.840 4.840 4.840 90.00 90.00 90.00
Atoms (fractional coordinates):
Hg1 0.500 0.000 0.000
Hg2 0.000 0.000 0.500
Hg3 0.000 0.500 0.000
Te1 0.500 0.500 0.500
N1 0.000 0.000 0.000

Computed properties:
Total magnetic moment, μB per atom: 0.0000
N(E_F), states/eV/cell: 3.17
Space group: Pm-3m


Least stable of them? arrangement one.